#i
Density functional theory data (PBE with a Hubbard U) for a relaxed MgNiNF2 crystal.

Calculated values
Fermi-level density of states = 0.49 states/eV/cell
V = 64.9 Å³/f.u.

abc: 3.634 3.634 4.913
angles: 90.00 90.00 90.00
Last column: magnetic moment on the atom in μB.
Positions (direct):
Ni 0.500 0.500 0.500  1.42
Mg 0.000 0.000 0.000  0.01
N 0.000 0.000 0.500  1.01
F 0.000 0.500 0.000  0.03
F 0.500 0.000 0.000  0.03

#ii
Density functional theory data (PBE with a Hubbard U) for a relaxed MgNiNF2 crystal.

Calculated values
Fermi-level density of states = 0.92 states/eV/cell
V = 58.6 Å³/f.u.

abc: 3.819 3.819 4.020
angles: 90.00 90.00 90.00
Last column: magnetic moment on the atom in μB.
Positions (direct):
Ni 0.000 0.000 0.000  1.68
Mg 0.500 0.500 0.500  -0.01
N 0.000 0.000 0.500  0.35
F 0.000 0.500 0.000  0.04
F 0.500 0.000 0.000  0.04

The least stable of them is #i.